Record 1
The following is a DFT calculation (SCAN) of a PBEsol-optimized structure of Tl2As.

- Energy relative to the elements: 43 meV per atom
- Density: 9.9 g cm⁻³

Lattice parameters (Å, degrees): 11.7674 3.5014 8.1690 90.00 106.35 90.00
Space group Cm (No. 8)
Inequivalent atoms, fractional coordinates:
Tl  0.0000  0.0000  0.0000 x2
Tl  0.0487  0.0000  0.4170 x2
Tl  0.2540  0.5000  0.2442 x2
Tl  0.3469  0.0000  0.6154 x2
As  0.1189  0.5000  0.7604 x2
As  0.2570  0.0000  0.9184 x2

Record 2
The following is a DFT calculation (SCAN) of a PBEsol-optimized structure of Ta2MnPb.

- Energy relative to the elements: 247 meV per atom
- Density: 14.8 g cm⁻³

Lattice parameters (Å, degrees): 2.9799 2.9799 7.8835 90.00 90.00 90.00
Space group P4/mmm (No. 123)
Inequivalent atoms, fractional coordinates:
Ta  0.0000  0.0000  0.1941 x2
Mn  0.5000  0.5000  0.0000 x1
Pb  0.5000  0.5000  0.5000 x1

Record 3
The following is a DFT calculation (SCAN) of a PBEsol-optimized structure of SbPb3.

- Formation energy without anion corrections: 94 meV/atom
- Density: 10.7 g cm⁻³

Lattice parameters (Å, degrees): 3.4112 3.4112 34.4506 90.00 90.00 120.00
Space group R-3m (No. 166, hexagonal axes)
Inequivalent atoms, fractional coordinates:
Sb  0.0000  0.0000  0.0000 x3
Pb  0.0000  0.0000  0.2515 x6
Pb  0.0000  0.0000  0.5000 x3

Record 4
The following is a DFT calculation (SCAN) of a PBEsol-optimized structure of Ca2AuSe.

- Formation energy without anion corrections: -1378 meV/atom
- Density: 5.7 g cm⁻³

Lattice parameters (Å, degrees): 3.7777 3.8984 14.1104 90.00 90.00 90.00
Space group Imm2 (No. 44)
Inequivalent atoms, fractional coordinates:
Ca  0.0000  0.0000  0.0000 x2
Ca  0.0000  0.5000  0.2450 x2
Au  0.0000  0.5000  0.8358 x2
Se  0.0000  0.0000  0.5826 x2

Record 5
The following is a DFT calculation (SCAN) of a PBEsol-optimized structure of MgCoAs2.

- Energy relative to the elements: 100 meV per atom
- Density: 6.3 g cm⁻³

Lattice parameters (Å, degrees): 5.5114 6.8918 3.2095 90.00 90.00 90.00
Space group Cmmm (No. 65)
Inequivalent atoms, fractional coordinates:
Mg  0.0000  0.0000  0.0000 x2
Co  0.0000  0.5000  0.0000 x2
As  0.2500  0.2500  0.5000 x4

Record 6
The following is a DFT calculation (SCAN) of a PBEsol-optimized structure of K2PbAu.

- Energy relative to the elements: -138 meV per atom
- Density: 6.9 g cm⁻³

Lattice parameters (Å, degrees): 4.6095 4.6095 10.9187 90.00 90.00 90.00
Space group I4/mmm (No. 139)
Inequivalent atoms, fractional coordinates:
K  0.0000  0.5000  0.2500 x4
Pb  0.0000  0.0000  0.0000 x2
Au  0.0000  0.0000  0.5000 x2

Record 7
The following is a DFT calculation (SCAN) of a PBEsol-optimized structure of Fe3Pt.

- Energy relative to the elements: -190 meV per atom
- Density: 12.1 g cm⁻³

Lattice parameters (Å, degrees): 5.1821 7.3457 2.6195 90.00 90.00 90.00
Space group Cmmm (No. 65)
Inequivalent atoms, fractional coordinates:
Fe  0.0000  0.0000  0.0000 x2
Fe  0.2500  0.2500  0.5000 x4
Pt  0.0000  0.5000  0.0000 x2

Record 8
The following is a DFT calculation (SCAN) of a PBEsol-optimized structure of Ca2IrPt.

- Energy relative to the elements: -466 meV per atom
- Density: 9.5 g cm⁻³

Lattice parameters (Å, degrees): 2.9988 4.8351 11.2235 90.00 90.00 90.00
Space group Imm2 (No. 44)
Inequivalent atoms, fractional coordinates:
Ca  0.0000  0.0000  0.0000 x2
Ca  0.0000  0.5000  0.1934 x2
Ir  0.0000  0.5000  0.7445 x2
Pt  0.0000  0.0000  0.4364 x2

no.,DFT total energy (eV per cell)
1,-659.114
2,-226.214
3,-792.684
4,-228.145
5,-124.519
6,-324.299
7,-250.687
8,-324.968